i | ## ZrGaTc (PBE)

Data for a relaxed ZrGaTc crystal.

**SG**: Cm (8)

a b c (Å): 5.525 4.488 8.598
angles (deg): 90.00 103.68 90.00
Atoms (fractional coordinates):
Ga (0.974, 0.500, 0.960)
Tc (0.696, 0.000, 0.791)
Ga (0.207, 0.000, 0.743)
Zr (0.834, 0.000, 0.130)
Ga (0.974, 0.000, 0.460)
Tc (0.696, 0.500, 0.291)
Zr (0.834, 0.500, 0.630)
Tc (0.317, 0.000, 0.073)
Ga (0.207, 0.500, 0.243)
Tc (0.317, 0.500, 0.573)
Zr (0.462, 0.500, 0.913)
Zr (0.462, 0.000, 0.413)

=====

ii | ## ZrGaTc (PBE)

Data for a relaxed ZrGaTc crystal.

**SG**: Cm (8)

a b c (Å): 6.349 3.491 9.927
angles (deg): 90.00 107.94 90.00
Atoms (fractional coordinates):
Ga (0.165, 0.500, 0.236)
Tc (0.606, 0.500, 0.213)
Ga (0.165, 0.000, 0.736)
Zr (0.917, 0.500, 0.865)
Zr (0.298, 0.500, 0.554)
Ga (0.766, 0.500, 0.547)
Zr (0.298, 0.000, 0.054)
Tc (0.467, 0.000, 0.389)
Zr (0.917, 0.000, 0.365)
Tc (0.467, 0.500, 0.889)
Tc (0.606, 0.000, 0.713)
Ga (0.766, 0.000, 0.047)

=====

iii | ## ZrGaTc (PBE)

Data for a relaxed ZrGaTc crystal.

**SG**: C2/m (12)

a b c (Å): 5.241 5.242 5.241
angles (deg): 119.93 61.16 88.93
Atoms (fractional coordinates):
Ga (0.620, 0.165, 0.065)
Ga (0.120, 0.165, 0.565)
Tc (0.620, 0.165, 0.565)
Zr (0.987, 0.548, 0.314)
Tc (0.620, 0.665, 0.065)
Zr (0.253, 0.782, 0.815)

=====

What are the relative energies? In eV/atom: i 0.175; ii 0.170; iii 0.000.

=====

i | ## ZrGaTc (PBE)

Data for a relaxed ZrGaTc crystal.

**SG**: P-3m1 (164)

a b c (Å): 4.601 4.601 5.647
angles (deg): 90.00 90.00 120.00
Atoms (fractional coordinates):
Ga (0.000, 0.000, 0.000)
Zr (0.333, 0.667, 0.811)
Tc (0.667, 0.333, 0.678)
Tc (0.333, 0.667, 0.322)
Ga (0.000, 0.000, 0.500)
Zr (0.667, 0.333, 0.189)

=====

ii | ## ZrGaTc (PBE)

Data for a relaxed ZrGaTc crystal.

**SG**: I4mm (107)

a b c (Å): 3.400 3.400 5.080
angles (deg): 109.55 109.55 90.00
Atoms (fractional coordinates):
Tc (0.944, 0.944, 0.888)
Zr (0.611, 0.611, 0.222)
Ga (0.295, 0.295, 0.590)

=====

What are the relative energies? In eV/atom: i 0.104; ii 0.000.